SrMoO4: optimized geometry, GGA+U.

Summary:
The value obtained for the total energy is -84.73 eV/cell. The value obtained for the theoretical density is 4.48 Mg/m³.

abc: 5.4841 5.4854 7.2263
angles: 112.31 112.30 89.99
Sites, in units of the cell vectors:
O 0.0696 0.2182 0.4129
O 0.8053 0.4304 0.0872
Sr 0.3750 0.1250 0.7500
O 0.9304 0.7818 0.5871
O 0.3433 0.6947 0.4129
O 0.1947 0.5696 0.9128
O 0.2818 0.1568 0.0872
Mo 0.8750 0.6250 0.7499
O 0.7182 0.8432 0.9128
Sr 0.6250 0.8750 0.2500
O 0.6567 0.3053 0.5871
Mo 0.1250 0.3750 0.2501

---

SrMoO2: optimized geometry, GGA+U.

Summary:
The value obtained for the total energy is -25.13 eV/cell. Its energy above the lowest structure with this stoichiometry is 176 meV per atom. The value obtained for the theoretical density is 4.84 Mg/m³.

abc: 6.6169 6.6169 6.6169
angles: 32.42 32.42 32.42
Sites, in units of the cell vectors:
Mo 0.0000 0.0000 0.0000
Sr 0.5000 0.5000 0.5000
O 0.1001 0.1001 0.1001
O 0.8999 0.8999 0.8999

---

SrMoO2: optimized geometry, GGA+U.

Summary:
The value obtained for the total energy is -49.10 eV/cell. Its energy above the lowest structure with this stoichiometry is 321 meV per atom. The value obtained for the theoretical density is 4.77 Mg/m³.

abc: 5.0930 5.0930 6.8195
angles: 68.07 68.07 90.00
Sites, in units of the cell vectors:
Sr 0.5000 0.5000 0.0000
O 0.0768 0.6250 0.2500
O 0.3750 0.3268 0.7500
O 0.8750 0.9232 0.7500
Mo 0.7500 0.2500 0.5000
O 0.6732 0.1250 0.2500
Sr 0.2500 0.7500 0.5000
Mo 0.0000 0.0000 0.0000

---

- Look up the theoretical density of the first one.
  4.48 Mg/m³

---

- Which of these has the highest theoretical density?
  number 2

---

- Which formula does entry 1 have?
  SrMoO4

---

- theoretical density of number 3 (SrMoO2)?
  4.77 Mg/m³